{
  "formula": "TePdRhO6",
  "functional": "PBE",
  "state": "relaxed",
  "sg": "No. 163",
  "raw_formation_energy_ev_per_atom": -0.662,
  "e_tot_ev_per_atom": -5.711,
  "crystal_system": "trigonal",
  "total_magnetization_mub_per_cell": 0.0,
  "density_g_cm3": 6.78,
  "lattice": [[5.202, 0.000, 0.000], [-2.601, 4.505, 0.000], [0.000, 0.000, 9.047]],
  "species": ["Te", "Te", "Pd", "Pd", "Rh", "Rh", "O", "O", "O", "O", "O", "O", "O", "O", "O", "O", "O", "O"],
  "fractional_positions": [[0.333, 0.667, 0.250], [0.667, 0.333, 0.750], [0.000, 0.000, 0.000], [0.000, 0.000, 0.500], [0.333, 0.667, 0.750], [0.667, 0.333, 0.250], [0.004, 0.356, 0.129], [0.004, 0.648, 0.371], [0.352, 0.356, 0.371], [0.352, 0.996, 0.129], [0.356, 0.004, 0.629], [0.356, 0.352, 0.871], [0.644, 0.648, 0.129], [0.644, 0.996, 0.371], [0.648, 0.004, 0.871], [0.648, 0.644, 0.629], [0.996, 0.352, 0.629], [0.996, 0.644, 0.871]]
}

---

{
  "formula": "Ga2RuW",
  "functional": "PBE",
  "state": "relaxed",
  "sg": "No. 225",
  "e_tot_ev_per_atom": -6.879,
  "crystal_system": "cubic",
  "formation_enthalpy_0k_ev_per_atom": 0.1912,
  "total_magnetization_mub_per_cell": 7.6,
  "relative_energy_mev_per_atom": 0,
  "density_g_cm3": 11.50,
  "lattice": [[6.257, 0.000, 0.000], [0.000, 6.257, 0.000], [0.000, 0.000, 6.257]],
  "species": ["Ga", "Ga", "Ga", "Ga", "Ga", "Ga", "Ga", "Ga", "Ru", "Ru", "Ru", "Ru", "W", "W", "W", "W"],
  "fractional_positions": [[0.250, 0.250, 0.250], [0.250, 0.250, 0.750], [0.250, 0.750, 0.250], [0.250, 0.750, 0.750], [0.750, 0.250, 0.250], [0.750, 0.250, 0.750], [0.750, 0.750, 0.250], [0.750, 0.750, 0.750], [0.000, 0.000, 0.000], [0.000, 0.500, 0.500], [0.500, 0.000, 0.500], [0.500, 0.500, 0.000], [0.000, 0.000, 0.500], [0.000, 0.500, 0.000], [0.500, 0.000, 0.000], [0.500, 0.500, 0.500]]
}

---

{
  "formula": "NaNi2Ag",
  "functional": "PBE",
  "state": "relaxed",
  "sg": "No. 225",
  "e_tot_ev_per_atom": -3.418,
  "crystal_system": "cubic",
  "formation_enthalpy_0k_ev_per_atom": 0.5151,
  "total_magnetization_mub_per_cell": 0.0,
  "relative_energy_mev_per_atom": 0,
  "density_g_cm3": 6.88,
  "lattice": [[6.212, 0.000, 0.000], [0.000, 6.212, 0.000], [0.000, 0.000, 6.212]],
  "species": ["Na", "Na", "Na", "Na", "Ni", "Ni", "Ni", "Ni", "Ni", "Ni", "Ni", "Ni", "Ag", "Ag", "Ag", "Ag"],
  "fractional_positions": [[0.000, 0.000, 0.000], [0.000, 0.500, 0.500], [0.500, 0.000, 0.500], [0.500, 0.500, 0.000], [0.250, 0.250, 0.250], [0.250, 0.250, 0.750], [0.250, 0.750, 0.250], [0.250, 0.750, 0.750], [0.750, 0.250, 0.250], [0.750, 0.250, 0.750], [0.750, 0.750, 0.250], [0.750, 0.750, 0.750], [0.000, 0.000, 0.500], [0.000, 0.500, 0.000], [0.500, 0.000, 0.000], [0.500, 0.500, 0.500]]
}

---

{
  "formula": "ZrAsOs2W",
  "functional": "PBE",
  "state": "relaxed",
  "sg": "No. 123",
  "e_tot_ev_per_atom": -8.419,
  "crystal_system": "tetragonal",
  "formation_enthalpy_0k_ev_per_atom": 1.3026,
  "total_magnetization_mub_per_cell": 0.0,
  "density_g_cm3": 12.65,
  "lattice": [[4.460, 0.000, 0.000], [0.000, 4.460, 0.000], [0.000, 0.000, 4.819]],
  "species": ["Zr", "As", "Os", "Os", "W"],
  "fractional_positions": [[0.000, 0.000, 0.000], [0.000, 0.000, 0.500], [0.000, 0.500, 0.500], [0.500, 0.000, 0.500], [0.500, 0.500, 0.000]]
}

---

{
  "formula": "MgPdAu2",
  "functional": "PBE",
  "state": "relaxed",
  "sg": "No. 122",
  "e_tot_ev_per_atom": -3.566,
  "crystal_system": "tetragonal",
  "formation_enthalpy_0k_ev_per_atom": -0.2300,
  "total_magnetization_mub_per_cell": 0.0,
  "density_g_cm3": 11.65,
  "lattice": [[7.412, 0.000, 0.000], [0.000, 7.412, 0.000], [0.000, 0.000, 5.446]],
  "species": ["Mg", "Mg", "Mg", "Mg", "Pd", "Pd", "Pd", "Pd", "Au", "Au", "Au", "Au", "Au", "Au", "Au", "Au"],
  "fractional_positions": [[0.000, 0.000, 0.000], [0.000, 0.500, 0.250], [0.500, 0.000, 0.750], [0.500, 0.500, 0.500], [0.000, 0.000, 0.500], [0.000, 0.500, 0.750], [0.500, 0.000, 0.250], [0.500, 0.500, 0.000], [0.247, 0.750, 0.125], [0.250, 0.247, 0.875], [0.250, 0.253, 0.375], [0.253, 0.750, 0.625], [0.747, 0.250, 0.625], [0.750, 0.747, 0.375], [0.750, 0.753, 0.875], [0.753, 0.250, 0.125]]
}

---

{
  "formula": "LiLaCu2",
  "functional": "PBE",
  "state": "relaxed",
  "sg": "No. 44",
  "e_tot_ev_per_atom": -3.730,
  "crystal_system": "orthorhombic",
  "formation_enthalpy_0k_ev_per_atom": 0.0284,
  "total_magnetization_mub_per_cell": 0.0,
  "density_g_cm3": 5.82,
  "lattice": [[3.904, 0.000, 0.000], [0.000, 4.811, 0.000], [0.000, 0.000, 8.291]],
  "species": ["Li", "Li", "La", "La", "Cu", "Cu", "Cu", "Cu"],
  "fractional_positions": [[0.000, 0.000, 0.000], [0.500, 0.500, 0.500], [0.000, 0.500, 0.210], [0.500, 0.000, 0.710], [0.000, 0.000, 0.439], [0.000, 0.500, 0.750], [0.500, 0.000, 0.250], [0.500, 0.500, 0.939]]
}

---

{
  "formula": "FeRhSe",
  "functional": "PBE",
  "state": "relaxed",
  "sg": "No. 8",
  "raw_formation_energy_ev_per_atom": -0.060,
  "e_tot_ev_per_atom": -6.493,
  "crystal_system": "monoclinic",
  "total_magnetization_mub_per_cell": 12.0,
  "relative_energy_mev_per_atom": 0,
  "density_g_cm3": 8.19,
  "lattice": [[8.640, 0.000, 0.000], [0.000, 3.742, 0.000], [-1.557, 0.000, 5.960]],
  "species": ["Fe", "Fe", "Fe", "Fe", "Rh", "Rh", "Rh", "Rh", "Se", "Se", "Se", "Se"],
  "fractional_positions": [[0.000, 0.000, 0.000], [0.038, 0.500, 0.737], [0.500, 0.500, 0.000], [0.538, 0.000, 0.737], [0.222, 0.500, 0.152], [0.260, 0.000, 0.844], [0.722, 0.000, 0.152], [0.760, 0.500, 0.844], [0.303, 0.500, 0.603], [0.450, 0.000, 0.250], [0.803, 0.000, 0.603], [0.950, 0.500, 0.250]]
}

---

{
  "formula": "YF5",
  "functional": "PBE",
  "state": "relaxed",
  "sg": "No. 65",
  "raw_formation_energy_ev_per_atom": -2.429,
  "e_tot_ev_per_atom": -5.065,
  "crystal_system": "orthorhombic",
  "total_magnetization_mub_per_cell": 4.0,
  "density_g_cm3": 4.17,
  "lattice": [[3.858, 0.000, 0.000], [0.000, 9.379, 0.000], [0.000, 0.000, 4.049]],
  "species": ["Y", "Y", "F", "F", "F", "F", "F", "F", "F", "F", "F", "F"],
  "fractional_positions": [[0.000, 0.000, 0.000], [0.500, 0.500, 0.000], [0.000, 0.134, 0.500], [0.000, 0.362, 0.000], [0.000, 0.500, 0.500], [0.000, 0.638, 0.000], [0.000, 0.866, 0.500], [0.500, 0.000, 0.500], [0.500, 0.138, 0.000], [0.500, 0.366, 0.500], [0.500, 0.634, 0.500], [0.500, 0.862, 0.000]]
}

---

{
  "formula": "Li2LaAg4",
  "functional": "PBE",
  "state": "relaxed",
  "sg": "No. 71",
  "e_tot_ev_per_atom": -3.030,
  "crystal_system": "orthorhombic",
  "formation_enthalpy_0k_ev_per_atom": -0.1503,
  "total_magnetization_mub_per_cell": 0.0,
  "density_g_cm3": 6.63,
  "lattice": [[3.261, 0.000, 0.000], [0.000, 4.777, 0.000], [0.000, 0.000, 18.794]],
  "species": ["Li", "Li", "Li", "Li", "La", "La", "Ag", "Ag", "Ag", "Ag", "Ag", "Ag", "Ag", "Ag"],
  "fractional_positions": [[0.000, 0.000, 0.196], [0.000, 0.000, 0.804], [0.500, 0.500, 0.304], [0.500, 0.500, 0.696], [0.000, 0.500, 0.000], [0.500, 0.000, 0.500], [0.000, 0.000, 0.340], [0.000, 0.000, 0.660], [0.000, 0.500, 0.422], [0.000, 0.500, 0.578], [0.500, 0.000, 0.078], [0.500, 0.000, 0.922], [0.500, 0.500, 0.160], [0.500, 0.500, 0.840]]
}

---

{
  "formula": "BeSiSn",
  "functional": "PBE",
  "state": "relaxed",
  "sg": "No. 1",
  "raw_formation_energy_ev_per_atom": 0.269,
  "e_tot_ev_per_atom": -4.115,
  "crystal_system": "triclinic",
  "total_magnetization_mub_per_cell": 0.0,
  "relative_energy_mev_per_atom": 38,
  "density_g_cm3": 4.52,
  "lattice": [[3.258, 0.000, 0.000], [-1.527, 3.577, 0.000], [-1.238, -1.440, 9.825]],
  "species": ["Be", "Be", "Si", "Si", "Sn", "Sn"],
  "fractional_positions": [[0.000, 0.000, 0.000], [0.308, 0.590, 0.078], [0.648, 0.384, 0.912], [0.657, 0.212, 0.159], [0.500, 0.805, 0.698], [0.798, 0.227, 0.435]]
}

---

{
  "formula": "PrZnRh",
  "functional": "PBE",
  "state": "relaxed",
  "sg": "No. 12",
  "e_tot_ev_per_atom": -5.042,
  "crystal_system": "monoclinic",
  "formation_enthalpy_0k_ev_per_atom": -0.5739,
  "total_magnetization_mub_per_cell": 0.0,
  "density_g_cm3": 8.08,
  "lattice": [[10.425, 0.000, 0.000], [0.000, 4.184, 0.000], [-4.212, 0.000, 5.830]],
  "species": ["Pr", "Pr", "Pr", "Pr", "Zn", "Zn", "Zn", "Zn", "Rh", "Rh", "Rh", "Rh"],
  "fractional_positions": [[0.062, 0.000, 0.311], [0.438, 0.500, 0.689], [0.562, 0.500, 0.311], [0.938, 0.000, 0.689], [0.185, 0.500, 0.084], [0.315, 0.000, 0.916], [0.685, 0.000, 0.084], [0.815, 0.500, 0.916], [0.157, 0.500, 0.689], [0.343, 0.000, 0.311], [0.657, 0.000, 0.689], [0.843, 0.500, 0.311]]
}

---

{
  "formula": "FeAu3",
  "functional": "PBE",
  "state": "relaxed",
  "sg": "No. 187",
  "e_tot_ev_per_atom": -4.449,
  "crystal_system": "hexagonal",
  "formation_enthalpy_0k_ev_per_atom": 0.1243,
  "total_magnetization_mub_per_cell": 3.1,
  "density_g_cm3": 15.86,
  "lattice": [[2.898, 0.000, 0.000], [-1.449, 2.509, 0.000], [0.000, 0.000, 9.310]],
  "species": ["Fe", "Au", "Au", "Au"],
  "fractional_positions": [[0.000, 0.000, 0.000], [0.000, 0.000, 0.500], [0.667, 0.333, 0.230], [0.667, 0.333, 0.770]]
}

---

{
  "formula": "ZrGeCl6",
  "functional": "PBE",
  "state": "relaxed",
  "sg": "No. 12",
  "raw_formation_energy_ev_per_atom": -1.388,
  "e_tot_ev_per_atom": -4.419,
  "crystal_system": "monoclinic",
  "total_magnetization_mub_per_cell": 0.0,
  "density_g_cm3": 2.51,
  "lattice": [[6.450, 0.000, 0.000], [0.000, 12.526, 0.000], [-1.880, 0.000, 6.164]],
  "species": ["Zr", "Zr", "Ge", "Ge", "Cl", "Cl", "Cl", "Cl", "Cl", "Cl", "Cl", "Cl", "Cl", "Cl", "Cl", "Cl"],
  "fractional_positions": [[0.000, 0.000, 0.000], [0.500, 0.500, 0.000], [0.000, 0.500, 0.500], [0.500, 0.000, 0.500], [0.235, 0.138, 0.237], [0.235, 0.862, 0.237], [0.241, 0.000, 0.762], [0.259, 0.500, 0.238], [0.265, 0.362, 0.763], [0.265, 0.638, 0.763], [0.735, 0.362, 0.237], [0.735, 0.638, 0.237], [0.741, 0.500, 0.762], [0.759, 0.000, 0.238], [0.765, 0.138, 0.763], [0.765, 0.862, 0.763]]
}

---

{
  "formula": "SmPa2Sn",
  "functional": "PBE",
  "state": "relaxed",
  "sg": "No. 166",
  "e_tot_ev_per_atom": -6.610,
  "crystal_system": "trigonal",
  "formation_enthalpy_0k_ev_per_atom": 0.3184,
  "total_magnetization_mub_per_cell": 0.0,
  "relative_energy_mev_per_atom": 475,
  "density_g_cm3": 10.80,
  "lattice": [[3.251, 0.000, 0.000], [-1.626, 2.816, 0.000], [0.000, 0.000, 36.825]],
  "species": ["Sm", "Sm", "Sm", "Pa", "Pa", "Pa", "Pa", "Pa", "Pa", "Sn", "Sn", "Sn"],
  "fractional_positions": [[0.000, 0.000, 0.000], [0.333, 0.667, 0.667], [0.667, 0.333, 0.333], [0.000, 0.000, 0.414], [0.000, 0.000, 0.586], [0.333, 0.667, 0.081], [0.333, 0.667, 0.253], [0.667, 0.333, 0.747], [0.667, 0.333, 0.919], [0.000, 0.000, 0.500], [0.333, 0.667, 0.167], [0.667, 0.333, 0.833]]
}

---

{
  "formula": "BeTeSe",
  "functional": "PBE",
  "state": "relaxed",
  "sg": "No. 107",
  "raw_formation_energy_ev_per_atom": -0.137,
  "e_tot_ev_per_atom": -3.588,
  "crystal_system": "tetragonal",
  "total_magnetization_mub_per_cell": 0.0,
  "relative_energy_mev_per_atom": 0,
  "density_g_cm3": 4.54,
  "lattice": [[3.138, 0.000, 0.000], [0.000, 3.138, 0.000], [0.000, 0.000, 16.011]],
  "species": ["Be", "Be", "Te", "Te", "Se", "Se"],
  "fractional_positions": [[0.000, 0.000, 0.000], [0.500, 0.500, 0.500], [0.000, 0.000, 0.846], [0.500, 0.500, 0.346], [0.000, 0.000, 0.556], [0.500, 0.500, 0.056]]
}

---

{
  "formula": "Ti2ZnS",
  "functional": "PBE",
  "state": "relaxed",
  "sg": "No. 122",
  "raw_formation_energy_ev_per_atom": 0.058,
  "e_tot_ev_per_atom": -5.239,
  "crystal_system": "tetragonal",
  "total_magnetization_mub_per_cell": 0.0,
  "relative_energy_mev_per_atom": 747,
  "density_g_cm3": 3.68,
  "lattice": [[5.561, 0.000, 0.000], [0.000, 5.561, 0.000], [0.000, 0.000, 11.281]],
  "species": ["Ti", "Ti", "Ti", "Ti", "Ti", "Ti", "Ti", "Ti", "Zn", "Zn", "Zn", "Zn", "S", "S", "S", "S"],
  "fractional_positions": [[0.218, 0.250, 0.125], [0.250, 0.718, 0.375], [0.250, 0.782, 0.875], [0.282, 0.250, 0.625], [0.718, 0.750, 0.625], [0.750, 0.218, 0.875], [0.750, 0.282, 0.375], [0.782, 0.750, 0.125], [0.000, 0.000, 0.500], [0.000, 0.500, 0.750], [0.500, 0.000, 0.250], [0.500, 0.500, 0.000], [0.000, 0.000, 0.000], [0.000, 0.500, 0.250], [0.500, 0.000, 0.750], [0.500, 0.500, 0.500]]
}

---

{
  "formula": "TaSb2TeI",
  "functional": "PBE",
  "state": "relaxed",
  "sg": "No. 123",
  "raw_formation_energy_ev_per_atom": 1.290,
  "e_tot_ev_per_atom": -3.668,
  "crystal_system": "tetragonal",
  "total_magnetization_mub_per_cell": 1.4,
  "relative_energy_mev_per_atom": 1069,
  "density_g_cm3": 6.26,
  "lattice": [[5.882, 0.000, 0.000], [0.000, 5.882, 0.000], [0.000, 0.000, 5.207]],
  "species": ["Ta", "Sb", "Sb", "Te", "I"],
  "fractional_positions": [[0.000, 0.000, 0.000], [0.000, 0.500, 0.500], [0.500, 0.000, 0.500], [0.000, 0.000, 0.500], [0.500, 0.500, 0.000]]
}

---

{
  "formula": "ErHf2Zn",
  "functional": "PBE",
  "state": "relaxed",
  "sg": "No. 166",
  "e_tot_ev_per_atom": -6.142,
  "crystal_system": "trigonal",
  "formation_enthalpy_0k_ev_per_atom": 0.2940,
  "total_magnetization_mub_per_cell": 0.0,
  "relative_energy_mev_per_atom": 208,
  "density_g_cm3": 10.64,
  "lattice": [[3.136, 0.000, 0.000], [-1.568, 2.716, 0.000], [0.000, 0.000, 32.422]],
  "species": ["Er", "Er", "Er", "Hf", "Hf", "Hf", "Hf", "Hf", "Hf", "Zn", "Zn", "Zn"],
  "fractional_positions": [[0.000, 0.000, 0.000], [0.333, 0.667, 0.667], [0.667, 0.333, 0.333], [0.000, 0.000, 0.098], [0.000, 0.000, 0.902], [0.333, 0.667, 0.569], [0.333, 0.667, 0.765], [0.667, 0.333, 0.235], [0.667, 0.333, 0.431], [0.000, 0.000, 0.500], [0.333, 0.667, 0.167], [0.667, 0.333, 0.833]]
}

---

{
  "formula": "Ce2NiBRh6",
  "functional": "PBE",
  "state": "relaxed",
  "sg": "No. 2",
  "e_tot_ev_per_atom": -7.325,
  "crystal_system": "triclinic",
  "formation_enthalpy_0k_ev_per_atom": -0.4816,
  "total_magnetization_mub_per_cell": 0.0,
  "density_g_cm3": 9.57,
  "lattice": [[5.585, 0.000, 0.000], [2.686, 4.900, 0.000], [2.531, 1.476, 6.130]],
  "species": ["Ce", "Ce", "Ni", "B", "Rh", "Rh", "Rh", "Rh", "Rh", "Rh"],
  "fractional_positions": [[0.235, 0.236, 0.323], [0.765, 0.764, 0.677], [0.500, 0.500, 0.500], [0.000, 0.000, 0.000], [0.215, 0.688, 0.829], [0.228, 0.224, 0.777], [0.307, 0.786, 0.174], [0.693, 0.214, 0.826], [0.772, 0.776, 0.223], [0.785, 0.312, 0.171]]
}

---

{
  "formula": "AcTb9Ho2",
  "functional": "PBE",
  "state": "relaxed",
  "sg": "No. 123",
  "e_tot_ev_per_atom": -4.544,
  "crystal_system": "tetragonal",
  "formation_enthalpy_0k_ev_per_atom": 0.0343,
  "total_magnetization_mub_per_cell": 0.0,
  "density_g_cm3": 8.42,
  "lattice": [[5.069, 0.000, 0.000], [0.000, 5.069, 0.000], [0.000, 0.000, 15.256]],
  "species": ["Ac", "Tb", "Tb", "Tb", "Tb", "Tb", "Tb", "Tb", "Tb", "Tb", "Ho", "Ho"],
  "fractional_positions": [[0.000, 0.000, 0.000], [0.000, 0.500, 0.174], [0.000, 0.500, 0.500], [0.000, 0.500, 0.826], [0.500, 0.000, 0.174], [0.500, 0.000, 0.500], [0.500, 0.000, 0.826], [0.500, 0.500, 0.000], [0.500, 0.500, 0.338], [0.500, 0.500, 0.662], [0.000, 0.000, 0.336], [0.000, 0.000, 0.664]]
}